A plane-wave DFT calculation with PBE was carried out for an optimized crystal structure of CsNa4In2.

a = 6.8453 Å, b = 6.8453 Å, c = 6.6643 Å
α = 117.97°, β = 117.97°, γ = 77.34°
Element x y z (fractional)
Cs1 0.0000 0.0000 0.0000
Na1 0.9999 0.4032 0.7012
Na2 0.0001 0.5968 0.2988
Na3 0.4032 0.9999 0.7012
Na4 0.5968 0.0001 0.2988
In1 0.4988 0.4988 0.2483
In2 0.5012 0.5012 0.7517

Properties
For the density of states at the Fermi level, the calculation gives 0.548 states/eV per atom. The calculation puts the magnetic moment at 0.000 μB/f.u. As for the formation energy from the elements: -2.3 kJ/mol of atoms.

***

A plane-wave DFT calculation with PBE was carried out for an optimized crystal structure of CaAgSb2Te.

a = 5.3436 Å, b = 5.3436 Å, c = 5.6554 Å
α = 90.00°, β = 90.00°, γ = 90.00°
Element x y z (fractional)
Ca1 0.0000 0.0000 0.0000
Ag1 0.5000 0.5000 0.5000
Sb1 0.0000 0.5000 0.5000
Sb2 0.5000 0.0000 0.5000
Te1 0.5000 0.5000 0.0000

Properties
For the density of states at the Fermi level, the calculation gives 0.672 states/eV per atom. The value obtained for the formation energy without anion corrections is 0.053 eV per atom. The calculation puts the magnetic moment at 0.000 μB/f.u. For the excess energy over the best structure of this formula in the dataset, the calculation gives 0 meV/atom.

***

A plane-wave DFT calculation with PBE was carried out for an optimized crystal structure of DyMgP2.

a = 6.5597 Å, b = 6.5597 Å, c = 6.5597 Å
α = 35.38°, β = 35.38°, γ = 35.38°
Element x y z (fractional)
Dy1 0.0000 0.0000 0.0000
Mg1 0.5000 0.5000 0.5000
P1 0.2467 0.2467 0.2467
P2 0.7533 0.7533 0.7533

Properties
For the density of states at the Fermi level, the calculation gives 0.714 states/eV per atom. The calculation puts the magnetic moment at 0.000 μB/f.u. For the excess energy over the best structure of this formula in the dataset, the calculation gives 11 meV/atom. As for the formation energy from the elements: -82.9 kJ/mol of atoms.

***

A plane-wave DFT calculation with PBE was carried out for an optimized crystal structure of Pr3Sm2In3.

a = 11.1293 Å, b = 11.1293 Å, c = 11.1293 Å
α = 156.56°, β = 153.57°, γ = 35.61°
Element x y z (fractional)
Pr1 0.0000 0.0000 0.0000
Pr2 0.3801 0.8801 0.5000
Pr3 0.6199 0.1199 0.5000
Sm1 0.2367 0.2367 0.0000
Sm2 0.7633 0.7633 0.0000
In1 0.1269 0.6269 0.5000
In2 0.5000 0.5000 0.0000
In3 0.8731 0.3731 0.5000

Properties
For the density of states at the Fermi level, the calculation gives 1.041 states/eV per atom. The calculation puts the magnetic moment at 0.000 μB/f.u. For the excess energy over the best structure of this formula in the dataset, the calculation gives 0 meV/atom. As for the formation energy from the elements: -34.7 kJ/mol of atoms.